Record 1
Here is a relaxed structure of PaGaCo from the Alexandria database. Energies are from PBE-GGA.

Structure (CIF):
```
data_PaGaCo
_cell_length_a 4.291
_cell_length_b 4.291
_cell_length_c 3.348
_cell_angle_alpha 90.00
_cell_angle_beta 90.00
_cell_angle_gamma 120.00
_space_group_name_H-M_alt 'P 1'
_space_group_IT_number 1
loop_
_space_group_symop_operation_xyz
'x,y,z'
loop_
_atom_site_label
_atom_site_fract_x
_atom_site_fract_y
_atom_site_fract_z
Pa1 0.000 0.000 0.000
Ga1 0.667 0.333 0.500
Co1 0.333 0.667 0.500
```


Record 2
Here is a relaxed structure of LiCd3Si from the Alexandria database. Energies are from PBE-GGA.

Results
Energy relative to the elements, uncorrected in eV/f.u.: 1.74

Structure (CIF):
```
data_LiCd3Si
_cell_length_a 5.170
_cell_length_b 5.170
_cell_length_c 5.170
_cell_angle_alpha 90.00
_cell_angle_beta 90.00
_cell_angle_gamma 90.00
_space_group_name_H-M_alt 'P 1'
_space_group_IT_number 1
loop_
_space_group_symop_operation_xyz
'x,y,z'
loop_
_atom_site_label
_atom_site_fract_x
_atom_site_fract_y
_atom_site_fract_z
Li1 0.000 0.000 0.000
Cd1 0.000 0.500 0.500
Cd2 0.500 0.000 0.500
Cd3 0.500 0.500 0.000
Si1 0.500 0.500 0.500
```


Record 3
Here is a relaxed structure of PPbSe2N from the Alexandria database. Energies are from PBE-GGA.

Results
Energy relative to the elements, uncorrected in eV/f.u.: 7.79

Structure (CIF):
```
data_PPbSe2N
_cell_length_a 5.550
_cell_length_b 5.550
_cell_length_c 4.220
_cell_angle_alpha 90.00
_cell_angle_beta 90.00
_cell_angle_gamma 90.00
_space_group_name_H-M_alt 'P 1'
_space_group_IT_number 1
loop_
_space_group_symop_operation_xyz
'x,y,z'
loop_
_atom_site_label
_atom_site_fract_x
_atom_site_fract_y
_atom_site_fract_z
P1 0.000 0.000 0.000
Pb1 0.500 0.500 0.500
Se1 0.000 0.500 0.500
Se2 0.500 0.000 0.500
N1 0.500 0.500 0.000
```


Record 4
Here is a relaxed structure of LiPa4SbN8 from the Alexandria database. Energies are from PBE-GGA.

Results
Energy relative to the elements, uncorrected in eV/f.u.: -15.87

Structure (CIF):
```
data_LiPa4SbN8
_cell_length_a 7.250
_cell_length_b 7.250
_cell_length_c 7.250
_cell_angle_alpha 58.59
_cell_angle_beta 58.59
_cell_angle_gamma 58.59
_space_group_name_H-M_alt 'P 1'
_space_group_IT_number 1
loop_
_space_group_symop_operation_xyz
'x,y,z'
loop_
_atom_site_label
_atom_site_fract_x
_atom_site_fract_y
_atom_site_fract_z
Li1 0.000 0.000 0.000
Pa1 0.406 0.406 0.406
Pa2 0.457 0.965 0.965
Pa3 0.965 0.457 0.965
Pa4 0.965 0.965 0.457
Sb1 0.575 0.575 0.575
N1 0.181 0.181 0.181
N2 0.211 0.211 0.754
N3 0.211 0.754 0.211
N4 0.222 0.649 0.649
N5 0.649 0.222 0.649
N6 0.649 0.649 0.222
N7 0.754 0.211 0.211
N8 0.755 0.755 0.755
```


Record 5
Here is a relaxed structure of Ce2Ho2Si4Os from the Alexandria database. Energies are from PBE-GGA.

Results
Energy relative to the elements, uncorrected in eV/f.u.: -2.92

Structure (CIF):
```
data_Ce2Ho2Si4Os
_cell_length_a 6.402
_cell_length_b 6.402
_cell_length_c 6.402
_cell_angle_alpha 113.08
_cell_angle_beta 113.08
_cell_angle_gamma 102.48
_space_group_name_H-M_alt 'P 1'
_space_group_IT_number 1
loop_
_space_group_symop_operation_xyz
'x,y,z'
loop_
_atom_site_label
_atom_site_fract_x
_atom_site_fract_y
_atom_site_fract_z
Ce1 0.178 0.178 0.000
Ce2 0.822 0.822 0.000
Ho1 0.250 0.750 0.500
Ho2 0.750 0.250 0.500
Si1 0.257 0.257 0.514
Si2 0.257 0.743 0.000
Si3 0.743 0.257 0.000
Si4 0.743 0.743 0.486
Os1 0.500 0.500 0.000
```


Record 6
Here is a relaxed structure of MnCuSi from the Alexandria database. Energies are from PBE-GGA.

Results
Energy relative to the elements, uncorrected in eV/f.u.: -0.33

Structure (CIF):
```
data_MnCuSi
_cell_length_a 3.993
_cell_length_b 3.993
_cell_length_c 2.664
_cell_angle_alpha 90.00
_cell_angle_beta 90.00
_cell_angle_gamma 120.00
_space_group_name_H-M_alt 'P 1'
_space_group_IT_number 1
loop_
_space_group_symop_operation_xyz
'x,y,z'
loop_
_atom_site_label
_atom_site_fract_x
_atom_site_fract_y
_atom_site_fract_z
Mn1 0.000 0.000 0.000
Cu1 0.333 0.667 0.500
Si1 0.667 0.333 0.500
```


Record 7
Here is a relaxed structure of Cu2BIr from the Alexandria database. Energies are from PBE-GGA.

Structure (CIF):
```
data_Cu2BIr
_cell_length_a 9.454
_cell_length_b 9.454
_cell_length_c 9.454
_cell_angle_alpha 160.28
_cell_angle_beta 160.28
_cell_angle_gamma 28.03
_space_group_name_H-M_alt 'P 1'
_space_group_IT_number 1
loop_
_space_group_symop_operation_xyz
'x,y,z'
loop_
_atom_site_label
_atom_site_fract_x
_atom_site_fract_y
_atom_site_fract_z
Cu1 0.120 0.625 0.995
Cu2 0.375 0.370 0.495
Cu3 0.630 0.125 0.005
Cu4 0.875 0.880 0.505
B1 0.000 0.000 0.000
B2 0.750 0.250 0.500
Ir1 0.250 0.750 0.500
Ir2 0.500 0.500 0.000
```


Record 8
Here is a relaxed structure of AcDyTeS2 from the Alexandria database. Energies are from PBE-GGA.

Results
Energy relative to the elements, uncorrected in eV/f.u.: -9.33

Structure (CIF):
```
data_AcDyTeS2
_cell_length_a 4.910
_cell_length_b 4.910
_cell_length_c 7.077
_cell_angle_alpha 90.00
_cell_angle_beta 90.00
_cell_angle_gamma 90.00
_space_group_name_H-M_alt 'P 1'
_space_group_IT_number 1
loop_
_space_group_symop_operation_xyz
'x,y,z'
loop_
_atom_site_label
_atom_site_fract_x
_atom_site_fract_y
_atom_site_fract_z
Ac1 0.000 0.000 0.000
Dy1 0.500 0.500 0.378
Te1 0.500 0.500 0.800
S1 0.000 0.500 0.238
S2 0.500 0.000 0.238
```


| no. | N(E_F) (states/eV/cell) | calculated total energy (eV per cell) |
| --- | --- | --- |
| 1 | 2.7 | -20.795 |
| 2 | 3.8 | -8.343 |
| 3 | 9.5 | -16.626 |
| 4 | 0.0 | -126.495 |
| 5 | 5.2 | -56.860 |
| 6 | 1.7 | -19.018 |
| 7 | 3.8 | -43.552 |
| 8 | 0.0 | -29.435 |